(1)
This record from the Alexandria database describes a geometry-optimized Sm5Te2Rh2 structure. The functional is GGA-PBE.

Values from the calculation:
Formation energy without anion corrections in meV/atom: -976
Space-group type: Cmce, No. 64

a b c (Å): 8.8618 8.8618 7.9213
angles (deg): 90.00 90.00 53.48
Fractional positions:
Sm 0.0000 0.0000 0.0000
Sm 0.0428 0.7209 0.6587
Sm 0.2209 0.5428 0.1587
Sm 0.2791 0.9572 0.6587
Sm 0.4572 0.7791 0.1587
Sm 0.5000 0.5000 0.5000
Sm 0.5428 0.2209 0.8413
Sm 0.7209 0.0428 0.3413
Sm 0.7791 0.4572 0.8413
Sm 0.9572 0.2791 0.3413
Te 0.2082 0.2082 0.0000
Te 0.2918 0.2918 0.5000
Te 0.7082 0.7082 0.5000
Te 0.7918 0.7918 0.0000
Rh 0.1393 0.8607 0.3628
Rh 0.3607 0.6393 0.8628
Rh 0.6393 0.3607 0.1372
Rh 0.8607 0.1393 0.6372


(2)
This record from the Alexandria database describes a geometry-optimized SmTe2Rh structure. The functional is GGA-PBE.

Values from the calculation:
Formation energy without anion corrections in meV/atom: -321
Space-group type: R-3m, No. 166

a b c (Å): 9.3016 9.3016 9.3016
angles (deg): 24.49 24.49 24.49
Fractional positions:
Sm 0.0000 0.0000 0.0000
Te 0.1149 0.1149 0.1149
Te 0.8851 0.8851 0.8851
Rh 0.5000 0.5000 0.5000


(3)
This record from the Alexandria database describes a geometry-optimized Sm5Te4Rh structure. The functional is GGA-PBE.

Values from the calculation:
Formation energy without anion corrections in meV/atom: -1236
Space-group type: I4/mmm, No. 139

a b c (Å): 16.0403 16.0403 16.0403
angles (deg): 164.37 164.37 22.17
Fractional positions:
Sm 0.0000 0.0000 0.0000
Sm 0.2089 0.2089 0.0000
Sm 0.4159 0.4159 0.0000
Sm 0.5841 0.5841 0.0000
Sm 0.7911 0.7911 0.0000
Te 0.1038 0.1038 0.0000
Te 0.3093 0.3093 0.0000
Te 0.6907 0.6907 0.0000
Te 0.8962 0.8962 0.0000
Rh 0.5000 0.5000 0.0000


(4)
This record from the Alexandria database describes a geometry-optimized Sm4TeRh structure. The functional is GGA-PBE.

Values from the calculation:
Formation energy without anion corrections in meV/atom: -761
Space-group type: Pnma, No. 62

a b c (Å): 8.4846 3.9991 19.8442
angles (deg): 90.00 90.00 90.00
Fractional positions:
Sm 0.0195 0.2500 0.0684
Sm 0.0441 0.7500 0.2185
Sm 0.1320 0.7500 0.6496
Sm 0.1455 0.7500 0.4499
Sm 0.3545 0.2500 0.9499
Sm 0.3680 0.2500 0.1496
Sm 0.4559 0.2500 0.7185
Sm 0.4805 0.7500 0.5684
Sm 0.5195 0.2500 0.4316
Sm 0.5441 0.7500 0.2815
Sm 0.6320 0.7500 0.8504
Sm 0.6455 0.7500 0.0501
Sm 0.8545 0.2500 0.5501
Sm 0.8680 0.2500 0.3504
Sm 0.9559 0.2500 0.7815
Sm 0.9805 0.7500 0.9316
Te 0.2493 0.2500 0.3130
Te 0.2507 0.7500 0.8130
Te 0.7493 0.2500 0.1870
Te 0.7507 0.7500 0.6870
Rh 0.2244 0.2500 0.5513
Rh 0.2756 0.7500 0.0513
Rh 0.7244 0.2500 0.9487
Rh 0.7756 0.7500 0.4487


(5)
This record from the Alexandria database describes a geometry-optimized Sm5Te5Rh structure. The functional is GGA-PBE.

Values from the calculation:
Formation energy without anion corrections in meV/atom: -1249
Space-group type: C2/m, No. 12

a b c (Å): 7.6750 7.6750 8.7144
angles (deg): 107.30 107.30 48.31
Fractional positions:
Sm 0.0000 0.0000 0.0000
Sm 0.3482 0.3482 0.6891
Sm 0.3518 0.3518 0.1503
Sm 0.6482 0.6482 0.8497
Sm 0.6518 0.6518 0.3109
Te 0.1648 0.1648 0.8248
Te 0.1819 0.1819 0.3323
Te 0.5000 0.5000 0.5000
Te 0.8181 0.8181 0.6677
Te 0.8352 0.8352 0.1752
Rh 0.5000 0.5000 0.0000


(6)
This record from the Alexandria database describes a geometry-optimized SmTh4Rh4 structure. The functional is GGA-PBE.

Values from the calculation:
Uncorrected energy in eV per atom: -7.861
Space-group type: I4/m, No. 87

a b c (Å): 7.0876 7.0876 7.0876
angles (deg): 99.40 99.40 132.32
Fractional positions:
Sm 0.0000 0.0000 0.0000
Th 0.1934 0.5997 0.7931
Th 0.4003 0.1934 0.5937
Th 0.5997 0.8066 0.4063
Th 0.8066 0.4003 0.2069
Rh 0.1063 0.2996 0.4060
Rh 0.2996 0.8937 0.1933
Rh 0.7004 0.1063 0.8067
Rh 0.8937 0.7004 0.5940